Record 1
DFT (PBE) results for a relaxed structure of RbPaMnN3.

```
12
Lattice="8.158 0.000 0.000 0.000 3.560 0.000 -2.425 0.000 7.942" Properties=species:S:1:pos:R:3 pbc="T T T"
Rb 1.056 0.890 1.703
Rb 4.677 2.670 6.239
Pa 0.769 2.670 6.678
Pa 4.964 0.890 1.264
Mn -0.844 0.890 4.724
Mn 6.577 2.670 3.218
N -0.142 2.670 4.423
N -0.676 0.890 6.586
N 3.565 2.670 0.984
N 2.168 0.890 6.958
N 6.408 2.670 1.357
N 5.875 0.890 3.520
```

Results
The total magnetization is 3.713 μB/cell. Its volume is 231 Å³ per cell. For the density of states at the Fermi level, the calculation gives 2.074 states/eV/cell. The value obtained for the electronic total energy is -8.29 eV/atom. The raw formation energy comes out at -0.859 eV/atom.

***

Record 2
DFT (PBE) results for a relaxed structure of Pa2MnRhN5.

```
18
Lattice="1.654 -6.432 0.000 1.654 6.432 0.000 0.000 0.000 10.038" Properties=species:S:1:pos:R:3 pbc="T T T"
Pa 1.654 5.152 5.019
Pa 1.654 4.443 1.269
Pa 1.654 -4.443 6.288
Pa 1.654 -5.152 0.000
Mn 1.654 3.759 8.428
Mn 1.654 -3.759 3.409
Rh 1.654 0.373 2.732
Rh 1.654 -0.373 7.751
N 1.654 5.574 8.945
N 1.654 2.909 4.856
N 1.654 2.297 1.870
N 1.654 1.736 8.249
N 1.654 0.237 5.861
N 1.654 -0.237 0.842
N 1.654 -1.736 3.230
N 1.654 -2.297 6.889
N 1.654 -2.909 9.875
N 1.654 -5.574 3.926
```

Results
The total magnetization is 6.298 μB/cell. Its volume is 214 Å³ per cell. For the density of states at the Fermi level, the calculation gives 6.188 states/eV/cell. The value obtained for the electronic total energy is -9.39 eV/atom. The raw formation energy comes out at -0.816 eV/atom.

***

Record 3
DFT (PBE) results for a relaxed structure of Pa2MnS2N2.

```
7
Lattice="5.431 -1.894 0.000 5.431 1.894 0.000 -3.465 0.000 5.732" Properties=species:S:1:pos:R:3 pbc="T T T"
Pa 1.243 0.000 1.350
Pa 6.154 0.000 4.382
Mn -1.733 0.000 2.866
S 4.141 0.000 0.954
S 3.256 0.000 4.778
N 0.191 0.000 3.373
N 7.206 0.000 2.359
```

Results
The total magnetization is 2.956 μB/cell. Its volume is 118 Å³ per cell. For the density of states at the Fermi level, the calculation gives 4.372 states/eV/cell. The value obtained for the electronic total energy is -8.97 eV/atom. The raw formation energy comes out at -1.384 eV/atom.